# Cs3ZnTe3 | the Alexandria database | PBE-GGA | relaxed
# * mass density: 3.52 Mg/m³
# * volume: 800 Å³ per cell
# * energy relative to the elements, uncorrected: -5.277 eV per formula unit
data_Cs3ZnTe3
_chemical_formula_sum 'Cs6 Zn2 Te6'
_space_group_name_H-M_alt 'P 1'
_space_group_IT_number 1
_cell_length_a 10.8888
_cell_length_b 10.8888
_cell_length_c 7.7887
_cell_angle_alpha 90.00
_cell_angle_beta 90.00
_cell_angle_gamma 120.00
loop_
_space_group_symop_operation_xyz
'x,y,z'
loop_
_atom_site_label
_atom_site_type_symbol
_atom_site_fract_x
_atom_site_fract_y
_atom_site_fract_z
Cs1 Cs 0.0870 0.3691 0.2500
Cs2 Cs 0.2821 0.9130 0.2500
Cs3 Cs 0.3691 0.2821 0.7500
Cs4 Cs 0.6309 0.7179 0.2500
Cs5 Cs 0.7179 0.0870 0.7500
Cs6 Cs 0.9130 0.6309 0.7500
Zn1 Zn 0.3333 0.6667 0.7500
Zn2 Zn 0.6667 0.3333 0.2500
Te1 Te 0.1078 0.4175 0.7500
Te2 Te 0.3097 0.8922 0.7500
Te3 Te 0.4175 0.3097 0.2500
Te4 Te 0.5825 0.6903 0.7500
Te5 Te 0.6903 0.1078 0.2500
Te6 Te 0.8922 0.5825 0.2500

# Cs2ZnTe2 | the Alexandria database | PBE-GGA | relaxed
# * mass density: 3.99 Mg/m³
# * volume: 244 Å³ per cell
# * energy relative to the elements, uncorrected: -1.319 eV per formula unit
data_Cs2ZnTe2
_chemical_formula_sum 'Cs2 Zn1 Te2'
_space_group_name_H-M_alt 'P 1'
_space_group_IT_number 1
_cell_length_a 11.7632
_cell_length_b 11.7632
_cell_length_c 11.7632
_cell_angle_alpha 157.22
_cell_angle_beta 157.22
_cell_angle_gamma 32.44
loop_
_space_group_symop_operation_xyz
'x,y,z'
loop_
_atom_site_label
_atom_site_type_symbol
_atom_site_fract_x
_atom_site_fract_y
_atom_site_fract_z
Cs1 Cs 0.1179 0.1179 0.0000
Cs2 Cs 0.8821 0.8821 0.0000
Zn1 Zn 0.5000 0.5000 0.0000
Te1 Te 0.2500 0.7500 0.5000
Te2 Te 0.7500 0.2500 0.5000

# CsZnTe | the Alexandria database | PBE-GGA | relaxed
# * mass density: 3.94 Mg/m³
# * volume: 275 Å³ per cell
# * energy relative to the elements, uncorrected: -2.001 eV per formula unit
data_CsZnTe
_chemical_formula_sum 'Cs2 Zn2 Te2'
_space_group_name_H-M_alt 'P 1'
_space_group_IT_number 1
_cell_length_a 5.5773
_cell_length_b 5.6292
_cell_length_c 9.5964
_cell_angle_alpha 72.97
_cell_angle_beta 73.31
_cell_angle_gamma 90.00
loop_
_space_group_symop_operation_xyz
'x,y,z'
loop_
_atom_site_label
_atom_site_type_symbol
_atom_site_fract_x
_atom_site_fract_y
_atom_site_fract_z
Cs1 Cs 0.1500 0.1512 0.1962
Cs2 Cs 0.8500 0.8488 0.8038
Zn1 Zn 0.2188 0.5003 0.5001
Zn2 Zn 0.7812 0.4997 0.4999
Te1 Te 0.3775 0.3759 0.7493
Te2 Te 0.6225 0.6241 0.2507

Among the records above, which one has the lowest volume? Cs2ZnTe2

Which value of energy relative to the elements, uncorrected does entry 3 give? -2.001 eV per formula unit